(1)
## In8HgBi6 (GGA-PBE)

Data for In8HgBi6 after structural relaxation.

Calculated values
Total moment, Bohr magnetons per cell: 0.00
Volume, Å³/cell: 449
D(E_F), states/eV/atom: 0.482
Energy relative to the elements, meV/atom: 60

Geometry as CIF:
```
data_In8HgBi6
_chemical_formula_sum 'In8 Hg1 Bi6'
_cell_length_a 8.326
_cell_length_b 8.421
_cell_length_c 8.432
_cell_angle_alpha 62.63
_cell_angle_beta 63.74
_cell_angle_gamma 63.86
_symmetry_space_group_name_H-M 'P -1'
_symmetry_Int_Tables_number 2
loop_
_symmetry_equiv_pos_as_xyz
'x,y,z'
'-x,-y,-z'
loop_
_atom_site_label
_atom_site_type_symbol
_atom_site_fract_x
_atom_site_fract_y
_atom_site_fract_z
In1 In 0.089 0.077 0.072
In2 In 0.225 0.606 0.229
In3 In 0.227 0.229 0.603
In4 In 0.389 0.775 0.775
Hg1 Hg 0.500 0.500 0.500
Bi1 Bi 0.048 0.665 0.664
Bi2 Bi 0.333 0.951 0.346
Bi3 Bi 0.336 0.347 0.951
```


(2)
## InHgBi (GGA-PBE)

Data for InHgBi after structural relaxation.

Calculated values
Total moment, Bohr magnetons per cell: 0.00
Volume, Å³/cell: 86
D(E_F), states/eV/atom: 0.465
Energy relative to the elements, meV/atom: 62

Geometry as CIF:
```
data_InHgBi
_chemical_formula_sum 'In1 Hg1 Bi1'
_cell_length_a 3.4818
_cell_length_b 3.4818
_cell_length_c 8.1561
_cell_angle_alpha 90.00
_cell_angle_beta 90.00
_cell_angle_gamma 120.00
_symmetry_space_group_name_H-M 'P 3 m 1'
_symmetry_Int_Tables_number 156
loop_
_symmetry_equiv_pos_as_xyz
'x,y,z'
'-y,x-y,z'
'-x+y,-x,z'
'-y,-x,z'
'-x+y,y,z'
'x,x-y,z'
loop_
_atom_site_label
_atom_site_type_symbol
_atom_site_fract_x
_atom_site_fract_y
_atom_site_fract_z
In1 In 0.0000 0.0000 0.0000
Hg1 Hg 0.3333 0.6667 0.6867
Bi1 Bi 0.6667 0.3333 0.3456
```


(3)
## In4Hg12Bi (GGA-PBE)

Data for In4Hg12Bi after structural relaxation.

Calculated values
Total moment, Bohr magnetons per cell: 0.00
Volume, Å³/cell: 465
D(E_F), states/eV/atom: 0.268
Energy relative to the elements, meV/atom: 23

Geometry as CIF:
```
data_In4Hg12Bi
_chemical_formula_sum 'In4 Hg12 Bi1'
_cell_length_a 7.391
_cell_length_b 7.556
_cell_length_c 9.304
_cell_angle_alpha 94.67
_cell_angle_beta 104.57
_cell_angle_gamma 109.86
_symmetry_space_group_name_H-M 'P -1'
_symmetry_Int_Tables_number 2
loop_
_symmetry_equiv_pos_as_xyz
'x,y,z'
'-x,-y,-z'
loop_
_atom_site_label
_atom_site_type_symbol
_atom_site_fract_x
_atom_site_fract_y
_atom_site_fract_z
In1 In 0.158 0.212 0.131
In2 In 0.218 0.088 0.755
Hg1 Hg 0.029 0.445 0.827
Hg2 Hg 0.095 0.331 0.477
Hg3 Hg 0.255 0.967 0.406
Hg4 Hg 0.311 0.857 0.049
Hg5 Hg 0.381 0.737 0.700
Hg6 Hg 0.438 0.626 0.356
Bi1 Bi 0.500 0.500 0.000
```


(4)
## InHgBi (GGA-PBE)

Data for InHgBi after structural relaxation.

Calculated values
Total moment, Bohr magnetons per cell: 0.00
Volume, Å³/cell: 171
D(E_F), states/eV/atom: 0.530
Energy relative to the elements, meV/atom: 72

Geometry as CIF:
```
data_InHgBi
_chemical_formula_sum 'In2 Hg2 Bi2'
_cell_length_a 4.117
_cell_length_b 4.117
_cell_length_c 10.081
_cell_angle_alpha 90.00
_cell_angle_beta 90.00
_cell_angle_gamma 90.00
_symmetry_space_group_name_H-M 'I 4 m m'
_symmetry_Int_Tables_number 107
_symmetry_space_group_name_Hall 'I 4 -2'
loop_
_atom_site_label
_atom_site_type_symbol
_atom_site_fract_x
_atom_site_fract_y
_atom_site_fract_z
In1 In 0.000 0.000 0.000
Hg1 Hg 0.000 0.000 0.667
Bi1 Bi 0.000 0.000 0.335
```


(5)
## In2HgBi (GGA-PBE)

Data for In2HgBi after structural relaxation.

Calculated values
Total moment, Bohr magnetons per cell: 0.00
Volume, Å³/cell: 379
D(E_F), states/eV/atom: 0.246
Energy relative to the elements, meV/atom: 34

Geometry as CIF:
```
data_In2HgBi
_chemical_formula_sum 'In6 Hg3 Bi3'
_cell_length_a 4.7242
_cell_length_b 4.7242
_cell_length_c 19.6050
_cell_angle_alpha 90.00
_cell_angle_beta 90.00
_cell_angle_gamma 120.00
_symmetry_space_group_name_H-M 'R 3 m'
_symmetry_Int_Tables_number 160
_symmetry_space_group_name_Hall 'R 3 -2"'
loop_
_atom_site_label
_atom_site_type_symbol
_atom_site_fract_x
_atom_site_fract_y
_atom_site_fract_z
In1 In 0.0000 0.0000 0.0000
In2 In 0.0000 0.0000 0.1681
Hg1 Hg 0.0000 0.0000 0.4093
Bi1 Bi 0.0000 0.0000 0.5848
```


(6)
## InHg4Bi (GGA-PBE)

Data for InHg4Bi after structural relaxation.

Calculated values
Total moment, Bohr magnetons per cell: 0.00
Volume, Å³/cell: 165
D(E_F), states/eV/atom: 0.195
Energy relative to the elements, meV/atom: 35

Geometry as CIF:
```
data_InHg4Bi
_chemical_formula_sum 'In1 Hg4 Bi1'
_cell_length_a 5.682
_cell_length_b 5.697
_cell_length_c 5.965
_cell_angle_alpha 81.21
_cell_angle_beta 89.48
_cell_angle_gamma 60.12
_symmetry_space_group_name_H-M 'P 1'
_symmetry_Int_Tables_number 1
loop_
_symmetry_equiv_pos_as_xyz
'x,y,z'
loop_
_atom_site_label
_atom_site_type_symbol
_atom_site_fract_x
_atom_site_fract_y
_atom_site_fract_z
In1 In 0.000 0.000 0.000
Hg1 Hg 0.169 0.663 0.502
Hg2 Hg 0.333 0.334 0.995
Hg3 Hg 0.668 0.665 0.005
Hg4 Hg 0.836 0.330 0.497
Bi1 Bi 0.503 0.996 0.500
```


(7)
## InHg2Bi (GGA-PBE)

Data for InHg2Bi after structural relaxation.

Calculated values
Total moment, Bohr magnetons per cell: 0.00
Volume, Å³/cell: 460
D(E_F), states/eV/atom: 0.591
Energy relative to the elements, meV/atom: 82

Geometry as CIF:
```
data_InHg2Bi
_chemical_formula_sum 'In4 Hg8 Bi4'
_cell_length_a 8.485
_cell_length_b 8.485
_cell_length_c 6.397
_cell_angle_alpha 90.00
_cell_angle_beta 90.00
_cell_angle_gamma 90.00
_symmetry_space_group_name_H-M 'I -4 2 d'
_symmetry_Int_Tables_number 122
_symmetry_space_group_name_Hall 'I -4 2bw'
loop_
_atom_site_label
_atom_site_type_symbol
_atom_site_fract_x
_atom_site_fract_y
_atom_site_fract_z
In1 In 0.000 0.000 0.000
Hg1 Hg 0.243 0.250 0.125
Bi1 Bi 0.000 0.000 0.500
```


(8)
## In7Hg4Bi (GGA-PBE)

Data for In7Hg4Bi after structural relaxation.

Calculated values
Total moment, Bohr magnetons per cell: 0.00
Volume, Å³/cell: 343
D(E_F), states/eV/atom: 0.335
Energy relative to the elements, meV/atom: 41

Geometry as CIF:
```
data_In7Hg4Bi
_chemical_formula_sum 'In7 Hg4 Bi1'
_cell_length_a 4.0454
_cell_length_b 4.0454
_cell_length_c 24.1996
_cell_angle_alpha 90.00
_cell_angle_beta 90.00
_cell_angle_gamma 120.00
_symmetry_space_group_name_H-M 'P -3 m 1'
_symmetry_Int_Tables_number 164
_symmetry_space_group_name_Hall '-P 3 2"'
loop_
_atom_site_label
_atom_site_type_symbol
_atom_site_fract_x
_atom_site_fract_y
_atom_site_fract_z
In1 In 0.0000 0.0000 0.0000
In2 In 0.0000 0.0000 0.2520
In3 In 0.3333 0.6667 0.1639
In4 In 0.3333 0.6667 0.4131
Hg1 Hg 0.3333 0.6667 0.6677
Hg2 Hg 0.3333 0.6667 0.9174
Bi1 Bi 0.0000 0.0000 0.5000
```


Q: Which formula does entry 8 have?
A: In7Hg4Bi